Version i
# ScCuSbOs, optimized geometry, DFT PBE
# - Size of the total moment: 0.00 μB/cell
# - Volume: 68.4 Å³ per cell
# - Density: 10.2 Mg/m³
data_ScCuSbOs
_space_group_name_H-M_alt 'P 1'
_space_group_IT_number 1
_space_group_name_Hall 'P 1'
_cell_length_a 4.590
_cell_length_b 4.590
_cell_length_c 4.590
_cell_angle_alpha 60.00
_cell_angle_beta 60.00
_cell_angle_gamma 60.00
loop_
_atom_site_label
_atom_site_fract_x
_atom_site_fract_y
_atom_site_fract_z
Os1 0.500 0.500 0.500
Sb1 0.000 0.000 0.000
Sc1 0.250 0.250 0.250
Cu1 0.750 0.750 0.750



Version ii
# ScCuSbOs, optimized geometry, DFT PBE
# - Size of the total moment: 0.00 μB/cell
# - Volume: 66.7 Å³ per cell
# - Density: 10.5 Mg/m³
data_ScCuSbOs
_space_group_name_H-M_alt 'P 1'
_space_group_IT_number 1
_space_group_name_Hall 'P 1'
_cell_length_a 4.552
_cell_length_b 4.552
_cell_length_c 4.552
_cell_angle_alpha 60.00
_cell_angle_beta 60.00
_cell_angle_gamma 60.00
loop_
_atom_site_label
_atom_site_fract_x
_atom_site_fract_y
_atom_site_fract_z
Sc1 0.500 0.500 0.500
Cu1 0.750 0.750 0.750
Sb1 0.000 0.000 0.000
Os1 0.250 0.250 0.250



Quick one: least stable of them? version i



Version i
# TaCuSbOs, optimized geometry, DFT PBE
# - Size of the total moment: 0.00 μB/cell
# - Volume: 66.8 Å³ per cell
# - Density: 13.8 Mg/m³
data_TaCuSbOs
_space_group_name_H-M_alt 'P 1'
_space_group_IT_number 1
_space_group_name_Hall 'P 1'
_cell_length_a 4.553
_cell_length_b 4.553
_cell_length_c 4.553
_cell_angle_alpha 60.00
_cell_angle_beta 60.00
_cell_angle_gamma 60.00
loop_
_atom_site_label
_atom_site_fract_x
_atom_site_fract_y
_atom_site_fract_z
Ta1 0.250 0.250 0.250
Cu1 0.750 0.750 0.750
Sb1 0.000 0.000 0.000
Os1 0.500 0.500 0.500



Version ii
# TaCuSbOs, optimized geometry, DFT PBE
# - Size of the total moment: 0.01 μB/cell
# - Volume: 66.5 Å³ per cell
# - Density: 13.9 Mg/m³
data_TaCuSbOs
_space_group_name_H-M_alt 'P 1'
_space_group_IT_number 1
_space_group_name_Hall 'P 1'
_cell_length_a 4.548
_cell_length_b 4.548
_cell_length_c 4.548
_cell_angle_alpha 60.00
_cell_angle_beta 60.00
_cell_angle_gamma 60.00
loop_
_atom_site_label
_atom_site_fract_x
_atom_site_fract_y
_atom_site_fract_z
Os1 0.250 0.250 0.250
Cu1 0.750 0.750 0.750
Ta1 0.500 0.500 0.500
Sb1 0.000 0.000 0.000



Quick one: least stable of them? version i



Version i
# ScCuSnOs, optimized geometry, DFT PBE
# - Size of the total moment: 0.00 μB/cell
# - Volume: 67.1 Å³ per cell
# - Density: 10.3 Mg/m³
data_ScCuSnOs
_space_group_name_H-M_alt 'P 1'
_space_group_IT_number 1
_space_group_name_Hall 'P 1'
_cell_length_a 4.561
_cell_length_b 4.561
_cell_length_c 4.561
_cell_angle_alpha 60.00
_cell_angle_beta 60.00
_cell_angle_gamma 60.00
loop_
_atom_site_label
_atom_site_fract_x
_atom_site_fract_y
_atom_site_fract_z
Sn1 0.000 0.000 0.000
Sc1 0.500 0.500 0.500
Cu1 0.750 0.750 0.750
Os1 0.250 0.250 0.250



Version ii
# ScCuSnOs, optimized geometry, DFT PBE
# - Size of the total moment: 0.00 μB/cell
# - Volume: 67.7 Å³ per cell
# - Density: 10.2 Mg/m³
data_ScCuSnOs
_space_group_name_H-M_alt 'P 1'
_space_group_IT_number 1
_space_group_name_Hall 'P 1'
_cell_length_a 4.575
_cell_length_b 4.575
_cell_length_c 4.575
_cell_angle_alpha 60.00
_cell_angle_beta 60.00
_cell_angle_gamma 60.00
loop_
_atom_site_label
_atom_site_fract_x
_atom_site_fract_y
_atom_site_fract_z
Sc1 0.250 0.250 0.250
Sn1 0.000 0.000 0.000
Cu1 0.750 0.750 0.750
Os1 0.500 0.500 0.500



Quick one: least stable of them? version ii



Version i
# ScZnCuOs, optimized geometry, DFT PBE
# - Size of the total moment: 0.00 μB/cell
# - Volume: 60.7 Å³ per cell
# - Density: 10.0 Mg/m³
data_ScZnCuOs
_space_group_name_H-M_alt 'P 1'
_space_group_IT_number 1
_space_group_name_Hall 'P 1'
_cell_length_a 4.410
_cell_length_b 4.410
_cell_length_c 4.410
_cell_angle_alpha 60.00
_cell_angle_beta 60.00
_cell_angle_gamma 60.00
loop_
_atom_site_label
_atom_site_fract_x
_atom_site_fract_y
_atom_site_fract_z
Os1 0.250 0.250 0.250
Sc1 0.500 0.500 0.500
Zn1 0.000 0.000 0.000
Cu1 0.750 0.750 0.750



Version ii
# ScZnCuOs, optimized geometry, DFT PBE
# - Size of the total moment: 0.00 μB/cell
# - Volume: 61.3 Å³ per cell
# - Density: 9.9 Mg/m³
data_ScZnCuOs
_space_group_name_H-M_alt 'P 1'
_space_group_IT_number 1
_space_group_name_Hall 'P 1'
_cell_length_a 4.427
_cell_length_b 4.427
_cell_length_c 4.427
_cell_angle_alpha 60.00
_cell_angle_beta 60.00
_cell_angle_gamma 60.00
loop_
_atom_site_label
_atom_site_fract_x
_atom_site_fract_y
_atom_site_fract_z
Cu1 0.750 0.750 0.750
Zn1 0.000 0.000 0.000
Sc1 0.250 0.250 0.250
Os1 0.500 0.500 0.500



Quick one: least stable of them? version ii



Version i
# TlCuOsSe3, optimized geometry, DFT PBE
# - Size of the total moment: 0.04 μB/cell
# - Volume: 263.4 Å³ per cell
# - Density: 8.8 Mg/m³
data_TlCuOsSe3
_space_group_name_H-M_alt 'P 1'
_space_group_IT_number 1
_space_group_name_Hall 'P 1'
_cell_length_a 3.770
_cell_length_b 7.485
_cell_length_c 9.643
_cell_angle_alpha 90.00
_cell_angle_beta 90.00
_cell_angle_gamma 104.59
loop_
_atom_site_label
_atom_site_fract_x
_atom_site_fract_y
_atom_site_fract_z
Se1 0.385 0.769 0.965
Tl1 0.242 0.484 0.250
Cu1 0.464 0.928 0.750
Cu2 0.536 0.072 0.250
Os1 0.000 0.000 0.500
Tl2 0.758 0.516 0.750
Se2 0.615 0.231 0.035
Se3 0.930 0.860 0.250
Os2 0.000 0.000 0.000
Se4 0.070 0.140 0.750
Se5 0.385 0.769 0.535
Se6 0.615 0.231 0.465



Version ii
# TlCuOsSe3, optimized geometry, DFT PBE
# - Size of the total moment: 0.06 μB/cell
# - Volume: 270.1 Å³ per cell
# - Density: 8.5 Mg/m³
data_TlCuOsSe3
_space_group_name_H-M_alt 'P 1'
_space_group_IT_number 1
_space_group_name_Hall 'P 1'
_cell_length_a 7.888
_cell_length_b 3.790
_cell_length_c 9.833
_cell_angle_alpha 90.00
_cell_angle_beta 113.21
_cell_angle_gamma 90.00
loop_
_atom_site_label
_atom_site_fract_x
_atom_site_fract_y
_atom_site_fract_z
Cu1 0.078 0.250 0.610
Os1 0.693 0.250 0.163
Se1 0.897 0.750 0.143
Se2 0.103 0.250 0.857
Tl1 0.723 0.750 0.711
Se3 0.250 0.750 0.566
Se4 0.464 0.750 0.117
Se5 0.536 0.250 0.883
Cu2 0.922 0.750 0.390
Os2 0.307 0.750 0.837
Se6 0.750 0.250 0.434
Tl2 0.277 0.250 0.289



Quick one: least stable of them? version i



Version i
# ZrCuSiOs, optimized geometry, DFT PBE
# - Size of the total moment: 0.00 μB/cell
# - Volume: 60.6 Å³ per cell
# - Density: 10.2 Mg/m³
data_ZrCuSiOs
_space_group_name_H-M_alt 'P 1'
_space_group_IT_number 1
_space_group_name_Hall 'P 1'
_cell_length_a 4.408
_cell_length_b 4.408
_cell_length_c 4.408
_cell_angle_alpha 60.00
_cell_angle_beta 60.00
_cell_angle_gamma 60.00
loop_
_atom_site_label
_atom_site_fract_x
_atom_site_fract_y
_atom_site_fract_z
Si1 0.000 0.000 0.000
Zr1 0.500 0.500 0.500
Os1 0.250 0.250 0.250
Cu1 0.750 0.750 0.750



Version ii
# ZrCuSiOs, optimized geometry, DFT PBE
# - Size of the total moment: 0.00 μB/cell
# - Volume: 62.2 Å³ per cell
# - Density: 10.0 Mg/m³
data_ZrCuSiOs
_space_group_name_H-M_alt 'P 1'
_space_group_IT_number 1
_space_group_name_Hall 'P 1'
_cell_length_a 4.448
_cell_length_b 4.448
_cell_length_c 4.448
_cell_angle_alpha 60.00
_cell_angle_beta 60.00
_cell_angle_gamma 60.00
loop_
_atom_site_label
_atom_site_fract_x
_atom_site_fract_y
_atom_site_fract_z
Cu1 0.750 0.750 0.750
Si1 0.000 0.000 0.000
Zr1 0.250 0.250 0.250
Os1 0.500 0.500 0.500



Quick one: least stable of them? version ii